Ac2ErInAu6: relaxed, GGA-PBE.

It has space group Fm-3m (No. 225), with a = 10.610 Å, b = 10.610 Å, c = 10.610 Å, α = 90.00°, β = 90.00° and γ = 90.00°. The asymmetric unit holds Ac at (0.250, 0.250, 0.250), Er at (0.000, 0.000, 0.000), In at (0.000, 0.000, 0.500) and Au at (0.000, 0.000, 0.253).

The total energy comes out at -3.79 eV per atom. The calculation puts the formation energy at -269 meV per atom. The crystal system is cubic.

AcErInAu: relaxed, GGA-PBE.

It has space group F-43m (No. 216), with a = 7.725 Å, b = 7.725 Å, c = 7.725 Å, α = 90.00°, β = 90.00° and γ = 90.00°. The asymmetric unit holds Ac at (0.000, 0.000, 0.000), Er at (0.000, 0.000, 0.500), In at (0.250, 0.250, 0.750) and Au at (0.250, 0.250, 0.250).

The total energy comes out at -4.19 eV per atom. The calculation puts the formation energy at -521 meV per atom. The crystal system is cubic.

AcErIn2Au4: relaxed, GGA-PBE.

It has space group R-3m (No. 166, hexagonal axes), with a = 4.9109 Å, b = 4.9109 Å, c = 27.0695 Å, α = 90.00°, β = 90.00° and γ = 120.00°. The asymmetric unit holds Ac at (0.0000, 0.0000, 0.0000), Er at (0.0000, 0.0000, 0.5000), In at (0.0000, 0.0000, 0.2431), Au at (0.0000, 0.0000, 0.1317) and Au at (0.0000, 0.0000, 0.3914).

The total energy comes out at -4.09 eV per atom. The calculation puts the formation energy at -680 meV per atom. The crystal system is trigonal.

Li2AcErAu4: relaxed, GGA-PBE.

It has space group R-3m (No. 166, hexagonal axes), with a = 4.6100 Å, b = 4.6100 Å, c = 28.8484 Å, α = 90.00°, β = 90.00° and γ = 120.00°. The asymmetric unit holds Li at (0.0000, 0.0000, 0.2397), Ac at (0.0000, 0.0000, 0.0000), Er at (0.0000, 0.0000, 0.5000), Au at (0.0000, 0.0000, 0.1168) and Au at (0.0000, 0.0000, 0.3979).

The total energy comes out at -3.92 eV per atom. The calculation puts the formation energy at -720 meV per atom. The crystal system is trigonal.

AcEr2MgAu4: relaxed, GGA-PBE.

It has space group R-3m (No. 166, hexagonal axes), with a = 4.9877 Å, b = 4.9877 Å, c = 26.8968 Å, α = 90.00°, β = 90.00° and γ = 120.00°. The asymmetric unit holds Ac at (0.0000, 0.0000, 0.0000), Er at (0.0000, 0.0000, 0.2345), Mg at (0.0000, 0.0000, 0.5000), Au at (0.0000, 0.0000, 0.1231) and Au at (0.0000, 0.0000, 0.3971).

The total energy comes out at -4.27 eV per atom. The calculation puts the formation energy at -778 meV per atom. The crystal system is trigonal.

AcErMg2Au4: relaxed, GGA-PBE.

It has space group R-3m (No. 166, hexagonal axes), with a = 4.7627 Å, b = 4.7627 Å, c = 28.1908 Å, α = 90.00°, β = 90.00° and γ = 120.00°. The asymmetric unit holds Ac at (0.0000, 0.0000, 0.0000), Er at (0.0000, 0.0000, 0.5000), Mg at (0.0000, 0.0000, 0.2394), Au at (0.0000, 0.0000, 0.1200) and Au at (0.0000, 0.0000, 0.3966).

The total energy comes out at -3.88 eV per atom. The calculation puts the formation energy at -754 meV per atom. The crystal system is trigonal.

AcErNiAu: relaxed, GGA-PBE.

It has space group F-43m (No. 216), with a = 7.326 Å, b = 7.326 Å, c = 7.326 Å, α = 90.00°, β = 90.00° and γ = 90.00°. The asymmetric unit holds Ac at (0.000, 0.000, 0.000), Er at (0.000, 0.000, 0.500), Ni at (0.250, 0.250, 0.250) and Au at (0.250, 0.250, 0.750).

The total energy comes out at -4.87 eV per atom. The calculation puts the formation energy at -441 meV per atom. The crystal system is cubic.

AcEr3Au4O12: relaxed, GGA-PBE.

It has space group R32 (No. 155, hexagonal axes), with a = 11.4686 Å, b = 11.4686 Å, c = 8.8307 Å, α = 90.00°, β = 90.00° and γ = 120.00°. The asymmetric unit holds Ac at (0.0000, 0.0000, 0.0000), Er at (0.0000, 0.5623, 0.0000), Au at (0.0000, 0.0000, 0.5000), Au at (0.0000, 0.4163, 0.5000), O at (0.0000, 0.5965, 0.5000), O at (0.0000, 0.8265, 0.5000) and O at (0.0476, 0.1859, 0.1934).

The total energy comes out at -6.03 eV per atom. The crystal system is trigonal.

AcErAu2O8: relaxed, GGA-PBE.

It has space group I-4 (No. 82), with a = 5.627 Å, b = 5.627 Å, c = 10.622 Å, α = 90.00°, β = 90.00° and γ = 90.00°. The asymmetric unit holds Ac at (0.000, 0.000, 0.000), Er at (0.000, 0.500, 0.750), Au at (0.000, 0.000, 0.500), Au at (0.000, 0.500, 0.250), O at (0.066, 0.351, 0.544) and O at (0.145, 0.818, 0.217).

The total energy comes out at -5.76 eV per atom. The crystal system is tetragonal.

Ac2ErAuO6: relaxed, GGA-PBE.

It has space group P4mm (No. 99), with a = 5.524 Å, b = 5.524 Å, c = 5.780 Å, α = 90.00°, β = 90.00° and γ = 90.00°. The asymmetric unit holds Ac at (0.000, 0.500, 0.000), Er at (0.000, 0.000, 0.535), Au at (0.500, 0.500, 0.660), O at (0.000, 0.000, 0.162), O at (0.245, 0.245, 0.710) and O at (0.500, 0.500, 0.128).

The total energy comes out at -6.98 eV per atom. The crystal system is tetragonal.

AcErPtAu: relaxed, GGA-PBE.

It has space group F-43m (No. 216), with a = 7.399 Å, b = 7.399 Å, c = 7.399 Å, α = 90.00°, β = 90.00° and γ = 90.00°. The asymmetric unit holds Ac at (0.000, 0.000, 0.000), Er at (0.000, 0.000, 0.500), Pt at (0.250, 0.250, 0.250) and Au at (0.250, 0.250, 0.750).

The total energy comes out at -5.39 eV per atom. The calculation puts the formation energy at -891 meV per atom. The crystal system is cubic.

AcErRuAu: relaxed, GGA-PBE.

It has space group F-43m (No. 216), with a = 7.283 Å, b = 7.283 Å, c = 7.283 Å, α = 90.00°, β = 90.00° and γ = 90.00°. The asymmetric unit holds Ac at (0.000, 0.000, 0.000), Er at (0.000, 0.000, 0.500), Ru at (0.250, 0.250, 0.250) and Au at (0.250, 0.250, 0.750).

The total energy comes out at -5.70 eV per atom. The calculation puts the formation energy at -397 meV per atom. The crystal system is cubic.